1.
## Na5Sn5Hg2 (PBE)

Data for an optimized crystal structure of Na5Sn5Hg2.

Output
The total DFT energy (no corrections) is -2.4039 eV per atom. The density is 5.63 Mg/m³. As for the energy of formation from the pure elements: -136 meV/atom.

Geometry as CIF:
```
data_Na5Sn5Hg2
_cell_length_a 16.167
_cell_length_b 5.167
_cell_length_c 9.737
_cell_angle_alpha 90.00
_cell_angle_beta 126.35
_cell_angle_gamma 90.00
_symmetry_space_group_name_H-M 'C 1 2/m 1'
_symmetry_Int_Tables_number 12
_symmetry_space_group_name_Hall '-C 2y'
loop_
_atom_site_label
_atom_site_fract_x
_atom_site_fract_y
_atom_site_fract_z
Na1 0.000 0.000 0.000
Na2 0.107 0.000 0.422
Na3 0.180 0.000 0.856
Sn1 0.000 0.500 0.500
Sn2 0.058 0.500 0.851
Sn3 0.237 0.500 0.719
Hg1 0.159 0.500 0.263
```

***

2.
## Na3SnHg5 (PBE)

Data for an optimized crystal structure of Na3SnHg5.

Output
The total DFT energy (no corrections) is -1.2572 eV per atom. The density is 8.49 Mg/m³. As for the energy of formation from the pure elements: -205 meV/atom.

Geometry as CIF:
```
data_Na3SnHg5
_cell_length_a 9.2386
_cell_length_b 9.2386
_cell_length_c 6.2996
_cell_angle_alpha 90.00
_cell_angle_beta 90.00
_cell_angle_gamma 120.00
_symmetry_space_group_name_H-M 'P 63/m c m'
_symmetry_Int_Tables_number 193
_symmetry_space_group_name_Hall '-P 6c 2'
loop_
_atom_site_label
_atom_site_fract_x
_atom_site_fract_y
_atom_site_fract_z
Na1 0.0000 0.3603 0.2500
Sn1 0.0000 0.0000 0.0000
Hg1 0.0000 0.3081 0.7500
Hg2 0.3333 0.6667 0.0000
```

***

3.
## Na4Sn3Hg2 (PBE)

Data for an optimized crystal structure of Na4Sn3Hg2.

Output
The total DFT energy (no corrections) is -2.1825 eV per atom. The density is 5.75 Mg/m³. As for the energy of formation from the pure elements: -195 meV/atom.

Geometry as CIF:
```
data_Na4Sn3Hg2
_cell_length_a 10.454
_cell_length_b 4.905
_cell_length_c 9.571
_cell_angle_alpha 90.00
_cell_angle_beta 90.97
_cell_angle_gamma 90.00
_symmetry_space_group_name_H-M 'C 1 2/m 1'
_symmetry_Int_Tables_number 12
_symmetry_space_group_name_Hall '-C 2y'
loop_
_atom_site_label
_atom_site_fract_x
_atom_site_fract_y
_atom_site_fract_z
Na1 0.030 0.000 0.168
Na2 0.208 0.500 0.355
Sn1 0.000 0.000 0.500
Sn2 0.166 0.500 0.983
Hg1 0.098 0.500 0.669
```

***

4.
## NaSnHg2 (PBE)

Data for an optimized crystal structure of NaSnHg2.

Output
The total DFT energy (no corrections) is -1.5873 eV per atom. The density is 8.41 Mg/m³. As for the energy of formation from the pure elements: -106 meV/atom.

Geometry as CIF:
```
data_NaSnHg2
_cell_length_a 3.311
_cell_length_b 24.004
_cell_length_c 5.395
_cell_angle_alpha 90.00
_cell_angle_beta 90.00
_cell_angle_gamma 90.00
_symmetry_space_group_name_H-M 'C m c m'
_symmetry_Int_Tables_number 63
_symmetry_space_group_name_Hall '-C 2c 2'
loop_
_atom_site_label
_atom_site_fract_x
_atom_site_fract_y
_atom_site_fract_z
Na1 0.000 0.154 0.250
Sn1 0.000 0.409 0.250
Hg1 0.000 0.282 0.250
Hg2 0.000 0.462 0.750
```

***

5.
## Na5Sn12Hg2 (PBE)

Data for an optimized crystal structure of Na5Sn12Hg2.

Output
The total DFT energy (no corrections) is -2.9966 eV per atom. The density is 6.01 Mg/m³. As for the energy of formation from the pure elements: -90 meV/atom.

Geometry as CIF:
```
data_Na5Sn12Hg2
_cell_length_a 27.887
_cell_length_b 7.210
_cell_length_c 5.343
_cell_angle_alpha 90.00
_cell_angle_beta 92.63
_cell_angle_gamma 90.00
_symmetry_space_group_name_H-M 'C 1 2/m 1'
_symmetry_Int_Tables_number 12
_symmetry_space_group_name_Hall '-C 2y'
loop_
_atom_site_label
_atom_site_fract_x
_atom_site_fract_y
_atom_site_fract_z
Na1 0.000 0.000 0.000
Na2 0.109 0.500 0.440
Na3 0.237 0.500 0.998
Sn1 0.050 0.500 0.916
Sn2 0.090 0.000 0.472
Sn3 0.134 0.213 0.970
Sn4 0.197 0.206 0.491
Hg1 0.000 0.262 0.500
```

***

6.
## Na2Sn3Hg (PBE)

Data for an optimized crystal structure of Na2Sn3Hg.

Output
The distance to the lowest polymorph of the same formula comes out at 0.014 eV per atom. The total DFT energy (no corrections) is -2.6484 eV per atom. The density is 6.34 Mg/m³. As for the energy of formation from the pure elements: -157 meV/atom.

Geometry as CIF:
```
data_Na2Sn3Hg
_cell_length_a 6.493
_cell_length_b 10.499
_cell_length_c 18.520
_cell_angle_alpha 90.00
_cell_angle_beta 90.00
_cell_angle_gamma 90.00
_symmetry_space_group_name_H-M 'F m m m'
_symmetry_Int_Tables_number 69
_symmetry_space_group_name_Hall '-F 2 2'
loop_
_atom_site_label
_atom_site_fract_x
_atom_site_fract_y
_atom_site_fract_z
Na1 0.248 0.000 0.000
Na2 0.250 0.250 0.250
Sn1 0.000 0.000 0.333
Sn2 0.000 0.248 0.418
Hg1 0.000 0.000 0.167
```